# 1
PmSm4Co | Alexandria via LeMat-Bulk | PBE | relaxed; formation energy from the elements = 1.2 kJ/mol of formula units; distance to the lowest polymorph of the same formula = 0 meV/atom
1.0
-1.377 2.912 5.006
2.191 -5.808 3.981
7.304 4.566 -4.189
Sm Pm Co
8 2 2
Cartesian
1.683 -4.460 3.057
2.777 -2.173 5.564
1.675 0.746 3.563
6.443 0.925 1.235
5.341 3.843 -0.766
4.348 3.492 2.701
3.770 -1.822 2.097
0.509 -1.348 0.924
5.077 0.442 4.680
3.041 1.228 0.118
0.672 -1.996 3.549
7.446 3.666 1.249

# 2
Pm2SmCo2 | Alexandria via LeMat-Bulk | PBE | relaxed; formation energy from the elements = -22.8 kJ/mol of formula units; distance to the lowest polymorph of the same formula = 0 meV/atom
1.0
4.134 0.000 0.000
0.000 3.877 -1.102
0.000 0.047 7.534
Co Pm Sm
2 2 1
Cartesian
0.000 0.841 2.958
0.000 3.083 3.474
2.067 2.521 1.499
2.067 1.402 4.933
0.000 0.000 0.000

# 3
Pm5Sm2Co4 | Alexandria via LeMat-Bulk | PBE | relaxed; formation energy from the elements = 140.0 kJ/mol of formula units
1.0
6.672 0.000 0.000
3.336 6.077 -0.510
3.336 1.000 7.130
Pm Sm Co
5 2 4
Cartesian
3.336 3.538 3.310
5.051 4.666 0.370
5.051 2.411 6.249
8.292 2.411 6.249
8.292 4.666 0.370
6.672 5.626 3.943
6.672 1.451 2.677
3.336 0.649 2.076
3.336 2.575 0.935
10.007 6.428 4.544
10.007 4.502 5.685

| no. | final energy (eV per atom) |
| --- | --- |
| 1 | -5.12 |
| 2 | -5.73 |
| 3 | -5.47 |